# TiAl2Fe, relaxed, DFT PBE-GGA
data_TiAl2Fe
_chemical_formula_sum 'Ti1 Al2 Fe1'
_space_group_name_H-M_alt 'P 4/m m m'
_space_group_IT_number 123
_space_group_name_Hall '-P 4 2'
_cell_length_a 3.8393
_cell_length_b 3.8393
_cell_length_c 3.9298
_cell_angle_alpha 90.00
_cell_angle_beta 90.00
_cell_angle_gamma 90.00
loop_
_atom_site_label
_atom_site_fract_x
_atom_site_fract_y
_atom_site_fract_z
Ti1 0.0000 0.0000 0.0000
Al1 0.0000 0.5000 0.5000
Fe1 0.5000 0.5000 0.0000
# **Energy**: -6.29 eV per atom